Record 1
## RbZnSi (PBE)

Data for a geometry-optimized RbZnSi structure.

Cell and atoms, written as POSCAR:
```
RbZnSi
1.0
4.2369 0.0000 0.0000
-2.1184 3.6692 0.0000
0.0000 0.0000 5.7466
Rb Zn Si
1 1 1
Direct
0.0000 0.0000 0.0000
0.6667 0.3333 0.5000
0.3333 0.6667 0.5000
```

Output
Density of states at the Fermi level (states/eV per cell): 2.3
Space-group type: No. 187
Calculated density (g/cm3): 3.33
Spin magnetization (Bohr magnetons per cell): 0.319
Energy relative to the elements, uncorrected (meV/atom): 137
Raw total energy (eV per cell): -7.3

---

Record 2
## RbZn2Si2 (PBE)

Data for a geometry-optimized RbZn2Si2 structure.

Cell and atoms, written as POSCAR:
```
RbZn2Si2
1.0
8.3815 0.0000 0.0000
0.0000 8.3815 0.0000
0.0000 0.0000 2.9211
Rb Zn Si
2 4 4
Direct
0.0000 0.0000 0.0000
0.5000 0.5000 0.0000
0.1382 0.3618 0.5000
0.3618 0.8618 0.5000
0.6382 0.1382 0.5000
0.8618 0.6382 0.5000
0.1357 0.6357 0.0000
0.3643 0.1357 0.0000
0.6357 0.8643 0.0000
0.8643 0.3643 0.0000
```

Output
Density of states at the Fermi level (states/eV per cell): 4.4
Space-group type: No. 127
Calculated density (g/cm3): 4.41
Spin magnetization (Bohr magnetons per cell): 0.000
Energy above the most stable polymorph in this dataset (eV per atom): 0.278
Energy relative to the elements, uncorrected (meV/atom): 364
Raw total energy (eV per cell): -25.1

---

Question: Look up the raw total energy of the second one.
Answer: -25.1 eV per cell

---

Question: What is the density of states at the Fermi level in the second record?
Answer: 4.4 states/eV per cell